[1]
A relaxed structure of NaSr5O6, computed with GGA-PBE.

Cell: 6.342 6.342 6.325 Å, 99.54 99.54 120.03°
Each line ends with the local moment (μB).
Fractional positions:
Na (0.000, 0.000, 0.000)  0.00
O (0.914, 0.570, 0.743)  0.16
O (0.430, 0.086, 0.257)  0.16
O (0.742, 0.742, 0.254)  0.15
O (0.258, 0.258, 0.746)  0.15
O (0.570, 0.914, 0.743)  0.16
O (0.086, 0.430, 0.257)  0.16
Sr (0.837, 0.163, 0.500)  0.00
Sr (0.667, 0.333, 0.000)  0.00
Sr (0.500, 0.500, 0.500)  0.00
Sr (0.333, 0.667, 0.000)  0.00
Sr (0.163, 0.837, 0.500)  0.00

Summary:
Total energy (eV/f.u.): -68.35
Size of the total moment (μB/cell): 1.1
Energy relative to the elements, uncorrected (eV/atom): -2.406

***

[2]
A relaxed structure of VOsN, computed with GGA-PBE.

Cell: 2.811 2.811 8.835 Å, 99.15 99.15 90.00°
Fractional positions:
N (0.303, 0.303, 0.605)
N (0.697, 0.697, 0.395)
V (0.177, 0.177, 0.354)
V (0.823, 0.823, 0.646)
Os (0.569, 0.569, 0.138)
Os (0.431, 0.431, 0.862)

Summary:
Total energy (eV/f.u.): -29.65
Size of the total moment (μB/cell): 0.0
Energy relative to the elements, uncorrected (eV/atom): -0.327

***

[3]
A relaxed structure of CsGa3Br, computed with GGA-PBE.

Cell: 5.837 5.837 5.837 Å, 90.00 90.00 90.00°
Fractional positions:
Cs (0.500, 0.500, 0.500)
Ga (0.000, 0.500, 0.000)
Ga (0.000, 0.000, 0.500)
Ga (0.500, 0.000, 0.000)
Br (0.000, 0.000, 0.000)

Summary:
Total energy (eV/f.u.): -10.76
Energy above the lowest structure with this stoichiometry (eV/atom): 0.000
Size of the total moment (μB/cell): 0.0
Energy relative to the elements, uncorrected (eV/atom): 0.169

***

[4]
A relaxed structure of Pu2NbAg, computed with GGA-PBE.

Cell: 3.057 3.057 9.538 Å, 90.00 90.00 90.00°
Each line ends with the local moment (μB).
Fractional positions:
Nb (0.500, 0.500, 0.000)  -0.31
Ag (0.500, 0.500, 0.500)  0.03
Pu (0.000, 0.000, 0.758)  5.42
Pu (0.000, 0.000, 0.242)  5.42

Summary:
Energy of formation from the pure elements (eV per atom): 0.174
Total energy (eV/f.u.): -40.89
Size of the total moment (μB/cell): 11.1

***

Which formula does entry 2 have?
VOsN

***

What is the formula in the fourth record?
Pu2NbAg